CrOsRh PBE optimized geometry; E = -27.997 eV per cell; SG = Imm2 (44); formation enthalpy at 0 K = 0.07 eV/atom
1.0
-0.557 0.809 4.557
-0.202 -3.525 3.044
2.475 2.170 -3.301
Cr Os Rh
1 1 1
Direct
0.995 0.995 0.000
0.341 0.341 0.000
0.665 0.665 0.000

=====

CrOsRh PBE optimized geometry; E = -28.050 eV per cell; SG = I4mm (107); formation enthalpy at 0 K = 0.05 eV/atom
1.0
-2.067 5.392 1.248
-3.643 4.586 -0.777
-1.987 -0.495 1.744
Cr Os Rh
1 1 1
Direct
0.997 0.997 0.003
0.341 0.341 0.659
0.661 0.661 0.339